Computed, not measured: a geometry-optimized K2IrCl structure at the PBE level of DFT.

- Relative energy among the computed polymorphs: 0.2689 eV/atom

abc: 8.0272 8.0272 8.0272
angles: 90.00 90.00 90.00
Closest atoms and distances in Å follow each position.
Space group Fm-3m (No. 225)
Asymmetric unit:
K: 0.2500 0.2500 0.2500  4 Cl 3.48, 4 Ir 3.48
Ir: 0.0000 0.0000 0.0000  8 K 3.48
Cl: 0.0000 0.0000 0.5000  8 K 3.48